1.
Below is a relaxed structure of AcSm3YEr, with properties calculated at the PBE level.

Computed properties:
E_form: 226.6 meV/atom

CIF file:
```
data_AcSm3YEr
_chemical_formula_sum 'Ac4 Sm12 Y4 Er4'
_symmetry_space_group_name_H-M 'C 1 2/m 1'
_symmetry_Int_Tables_number 12
_cell_length_a 20.6321
_cell_length_b 5.8259
_cell_length_c 7.1209
_cell_angle_alpha 90.00
_cell_angle_beta 91.17
_cell_angle_gamma 90.00
loop_
_symmetry_equiv_pos_as_xyz
'x,y,z'
'-x,-y,-z'
'-x,y,-z'
'x,-y,z'
'x+1/2,y+1/2,z'
'-x+1/2,-y+1/2,-z'
'-x+1/2,y+1/2,-z'
'x+1/2,-y+1/2,z'
loop_
_atom_site_label
_atom_site_fract_x
_atom_site_fract_y
_atom_site_fract_z
_atom_site_occupancy
Ac1 0.1470 0.0000 0.0280 1
Sm1 0.0177 0.0000 0.7344 1
Sm2 0.1609 0.5000 0.7340 1
Sm3 0.2189 0.5000 0.2693 1
Y1 0.0572 0.5000 0.2958 1
Er1 0.1444 0.0000 0.4814 1
```

=====

2.
Below is a relaxed structure of HfBe2CrTe, with properties calculated at the PBE level.

Computed properties:
uncorrected formation energy: 1.54 eV/atom

CIF file:
```
data_HfBe2CrTe
_chemical_formula_sum 'Hf1 Be2 Cr1 Te1'
_symmetry_space_group_name_H-M 'P 4/m m m'
_symmetry_Int_Tables_number 123
_symmetry_space_group_name_Hall '-P 4 2'
_cell_length_a 4.7622
_cell_length_b 4.7622
_cell_length_c 4.7319
_cell_angle_alpha 90.00
_cell_angle_beta 90.00
_cell_angle_gamma 90.00
loop_
_atom_site_label
_atom_site_fract_x
_atom_site_fract_y
_atom_site_fract_z
_atom_site_occupancy
Hf1 0.0000 0.0000 0.0000 1
Be1 0.0000 0.5000 0.0000 1
Cr1 0.0000 0.0000 0.5000 1
Te1 0.5000 0.5000 0.5000 1
```

=====

3.
Below is a relaxed structure of V3RuCl, with properties calculated at the PBE level.

Computed properties:
uncorrected formation energy: 0.63 eV/atom
polymorph energy (0 for the lowest one): 0.000 eV/atom

CIF file:
```
data_V3RuCl
_chemical_formula_sum 'V3 Ru1 Cl1'
_symmetry_space_group_name_H-M 'P m -3 m'
_symmetry_Int_Tables_number 221
_symmetry_space_group_name_Hall '-P 4 2 3'
_cell_length_a 4.2005
_cell_length_b 4.2005
_cell_length_c 4.2005
_cell_angle_alpha 90.00
_cell_angle_beta 90.00
_cell_angle_gamma 90.00
loop_
_atom_site_label
_atom_site_fract_x
_atom_site_fract_y
_atom_site_fract_z
_atom_site_occupancy
V1 0.0000 0.0000 0.5000 1
Ru1 0.5000 0.5000 0.5000 1
Cl1 0.0000 0.0000 0.0000 1
```

=====

4.
Below is a relaxed structure of Rb2BaNiCl6, with properties calculated at the PBE level.

Computed properties:
uncorrected formation energy: -1.66 eV/atom

CIF file:
```
data_Rb2BaNiCl6
_chemical_formula_sum 'Rb2 Ba1 Ni1 Cl6'
_symmetry_space_group_name_H-M 'P -1'
_symmetry_Int_Tables_number 2
_cell_length_a 7.4617
_cell_length_b 7.5435
_cell_length_c 7.5499
_cell_angle_alpha 90.22
_cell_angle_beta 118.71
_cell_angle_gamma 119.33
loop_
_symmetry_equiv_pos_as_xyz
'x,y,z'
'-x,-y,-z'
loop_
_atom_site_label
_atom_site_fract_x
_atom_site_fract_y
_atom_site_fract_z
_atom_site_occupancy
Rb1 0.0023 0.2594 0.2317 1
Ba1 0.5000 0.0000 0.5000 1
Ni1 0.5000 0.5000 0.0000 1
Cl1 0.0520 0.3134 0.8032 1
Cl2 0.4532 0.3121 0.7015 1
Cl3 0.4791 0.2136 0.1563 1
```

=====

5.
Below is a relaxed structure of Zr2Al2Ag, with properties calculated at the PBE level.

Computed properties:
polymorph energy (0 for the lowest one): 0.504 eV/atom
E_form: 135.7 meV/atom

CIF file:
```
data_Zr2Al2Ag
_chemical_formula_sum 'Zr4 Al4 Ag2'
_symmetry_space_group_name_H-M 'I 4/m m m'
_symmetry_Int_Tables_number 139
_symmetry_space_group_name_Hall '-I 4 2'
_cell_length_a 3.5988
_cell_length_b 3.5988
_cell_length_c 16.1137
_cell_angle_alpha 90.00
_cell_angle_beta 90.00
_cell_angle_gamma 90.00
loop_
_atom_site_label
_atom_site_fract_x
_atom_site_fract_y
_atom_site_fract_z
_atom_site_occupancy
Zr1 0.0000 0.0000 0.1027 1
Al1 0.0000 0.5000 0.2500 1
Ag1 0.0000 0.0000 0.5000 1
```

=====

6.
Below is a relaxed structure of SiAs2Br, with properties calculated at the PBE level.

Computed properties:
uncorrected formation energy: 0.59 eV/atom
polymorph energy (0 for the lowest one): 0.530 eV/atom

CIF file:
```
data_SiAs2Br
_chemical_formula_sum 'Si1 As2 Br1'
_symmetry_space_group_name_H-M 'P m m m'
_symmetry_Int_Tables_number 47
_cell_length_a 3.2350
_cell_length_b 4.7974
_cell_length_c 5.2420
_cell_angle_alpha 90.00
_cell_angle_beta 90.00
_cell_angle_gamma 90.00
loop_
_symmetry_equiv_pos_as_xyz
'x,y,z'
'-x,-y,-z'
'-x,-y,z'
'x,y,-z'
'x,-y,-z'
'-x,y,z'
'-x,y,-z'
'x,-y,z'
loop_
_atom_site_label
_atom_site_fract_x
_atom_site_fract_y
_atom_site_fract_z
_atom_site_occupancy
Si1 0.0000 0.0000 0.0000 1
As1 0.0000 0.5000 0.5000 1
As2 0.5000 0.0000 0.5000 1
Br1 0.5000 0.5000 0.0000 1
```

=====

7.
Below is a relaxed structure of RbTeI2, with properties calculated at the PBE level.

Computed properties:
uncorrected formation energy: -0.32 eV/atom
polymorph energy (0 for the lowest one): 0.162 eV/atom

CIF file:
```
data_RbTeI2
_chemical_formula_sum 'Rb4 Te4 I8'
_symmetry_space_group_name_H-M 'F m -3 m'
_symmetry_Int_Tables_number 225
_symmetry_space_group_name_Hall '-F 4 2 3'
_cell_length_a 8.7599
_cell_length_b 8.7599
_cell_length_c 8.7599
_cell_angle_alpha 90.00
_cell_angle_beta 90.00
_cell_angle_gamma 90.00
loop_
_atom_site_label
_atom_site_fract_x
_atom_site_fract_y
_atom_site_fract_z
_atom_site_occupancy
Rb1 0.0000 0.0000 0.0000 1
Te1 0.0000 0.0000 0.5000 1
I1 0.2500 0.2500 0.2500 1
```

=====

8.
Below is a relaxed structure of Pm8Si3Bi2, with properties calculated at the PBE level.

Computed properties:
uncorrected formation energy: -0.47 eV/atom

CIF file:
```
data_Pm8Si3Bi2
_chemical_formula_sum 'Pm16 Si6 Bi4'
_symmetry_space_group_name_H-M 'C 1 2/m 1'
_symmetry_Int_Tables_number 12
_cell_length_a 16.0745
_cell_length_b 8.2638
_cell_length_c 7.2312
_cell_angle_alpha 90.00
_cell_angle_beta 106.46
_cell_angle_gamma 90.00
loop_
_symmetry_equiv_pos_as_xyz
'x,y,z'
'-x,-y,-z'
'-x,y,-z'
'x,-y,z'
'x+1/2,y+1/2,z'
'-x+1/2,-y+1/2,-z'
'-x+1/2,y+1/2,-z'
'x+1/2,-y+1/2,z'
loop_
_atom_site_label
_atom_site_fract_x
_atom_site_fract_y
_atom_site_fract_z
_atom_site_occupancy
Pm1 0.0941 0.0000 0.3696 1
Pm2 0.1038 0.2503 0.8971 1
Pm3 0.1049 0.5000 0.4020 1
Si1 0.0000 0.2482 0.5000 1
Si2 0.0000 0.5000 0.0000 1
Bi1 0.2496 0.0000 0.1700 1
```

=====

9.
Below is a relaxed structure of NdErPd2, with properties calculated at the PBE level.

Computed properties:
polymorph energy (0 for the lowest one): 0.051 eV/atom
E_form: -812.9 meV/atom

CIF file:
```
data_NdErPd2
_chemical_formula_sum 'Nd4 Er4 Pd8'
_symmetry_space_group_name_H-M 'F m -3 m'
_symmetry_Int_Tables_number 225
_symmetry_space_group_name_Hall '-F 4 2 3'
_cell_length_a 7.1158
_cell_length_b 7.1158
_cell_length_c 7.1158
_cell_angle_alpha 90.00
_cell_angle_beta 90.00
_cell_angle_gamma 90.00
loop_
_atom_site_label
_atom_site_fract_x
_atom_site_fract_y
_atom_site_fract_z
_atom_site_occupancy
Nd1 0.0000 0.0000 0.0000 1
Er1 0.0000 0.0000 0.5000 1
Pd1 0.2500 0.2500 0.2500 1
```

=====

10.
Below is a relaxed structure of Nd6Ir2AuCl3, with properties calculated at the PBE level.

Computed properties:
uncorrected formation energy: -1.17 eV/atom

CIF file:
```
data_Nd6Ir2AuCl3
_chemical_formula_sum 'Nd12 Ir4 Au2 Cl6'
_symmetry_space_group_name_H-M 'C 1 2/m 1'
_symmetry_Int_Tables_number 12
_cell_length_a 7.2572
_cell_length_b 12.6292
_cell_length_c 7.8736
_cell_angle_alpha 90.00
_cell_angle_beta 107.55
_cell_angle_gamma 90.00
loop_
_symmetry_equiv_pos_as_xyz
'x,y,z'
'-x,-y,-z'
'-x,y,-z'
'x,-y,z'
'x+1/2,y+1/2,z'
'-x+1/2,-y+1/2,-z'
'-x+1/2,y+1/2,-z'
'x+1/2,-y+1/2,z'
loop_
_atom_site_label
_atom_site_fract_x
_atom_site_fract_y
_atom_site_fract_z
_atom_site_occupancy
Nd1 0.2148 0.0000 0.2075 1
Nd2 0.2443 0.3239 0.2078 1
Ir1 0.0000 0.1664 0.0000 1
Au1 0.0000 0.5000 0.0000 1
Cl1 0.0000 0.0000 0.5000 1
Cl2 0.0000 0.3251 0.5000 1
```

=====

11.
Below is a relaxed structure of ReP3, with properties calculated at the PBE level.

Computed properties:
polymorph energy (0 for the lowest one): 0.780 eV/atom
E_form: 445.0 meV/atom

CIF file:
```
data_ReP3
_chemical_formula_sum 'Re4 P12'
_symmetry_space_group_name_H-M 'I 4/m m m'
_symmetry_Int_Tables_number 139
_symmetry_space_group_name_Hall '-I 4 2'
_cell_length_a 3.5503
_cell_length_b 3.5503
_cell_length_c 19.5644
_cell_angle_alpha 90.00
_cell_angle_beta 90.00
_cell_angle_gamma 90.00
loop_
_atom_site_label
_atom_site_fract_x
_atom_site_fract_y
_atom_site_fract_z
_atom_site_occupancy
Re1 0.0000 0.0000 0.1716 1
P1 0.0000 0.0000 0.3923 1
P2 0.0000 0.5000 0.0000 1
P3 0.0000 0.5000 0.2500 1
```

=====

Magnetization values (in μB/cell) by entry order: 0.0; 2.3; 1.1; 2.1; 0.0; 0.0; 12.0; 0.0; 0.0; 0.0; 0.0.
E values (in eV per atom) by entry order: -4.66; -4.49; -7.07; -3.73; -5.35; -3.51; -2.12; -5.24; -5.74; -5.76; -6.72.